Entry 1:
First-principles (PBE) data for crystalline CaAlIO6 at its relaxed geometry, as listed in Alexandria.

Lattice parameters (Å, degrees): 5.057 5.057 10.240 90.00 90.00 120.00
Fractional positions:
Ca (0.000, 0.000, 0.000)
Ca (0.000, 0.000, 0.500)
Al (0.667, 0.333, 0.250)
Al (0.333, 0.667, 0.750)
I (0.333, 0.667, 0.250)
I (0.667, 0.333, 0.750)
O (0.625, 0.628, 0.146)
O (0.003, 0.375, 0.146)
O (0.375, 0.003, 0.646)
O (0.997, 0.625, 0.854)
O (0.372, 0.375, 0.354)
O (0.003, 0.628, 0.354)
O (0.628, 0.003, 0.854)
O (0.625, 0.997, 0.354)
O (0.997, 0.372, 0.646)
O (0.372, 0.997, 0.146)
O (0.628, 0.625, 0.646)
O (0.375, 0.372, 0.854)

## Properties
formation energy without anion corrections = -16.1 eV per formula unit
symmetry = No. 163



Entry 2:
First-principles (PBE) data for crystalline CaAl2PbI at its relaxed geometry, as listed in Alexandria.

Lattice parameters (Å, degrees): 5.829 5.726 5.829 90.00 90.00 90.00
Fractional positions:
Pb (0.500, 0.500, 0.500)
I (0.000, 0.500, 0.000)
Ca (0.000, 0.000, 0.000)
Al (0.000, 0.000, 0.500)
Al (0.500, 0.000, 0.000)

## Properties
formation energy without anion corrections = 3.1 eV per formula unit
symmetry = No. 123



Entry 3:
First-principles (PBE) data for crystalline CaAlSb2I at its relaxed geometry, as listed in Alexandria.

Lattice parameters (Å, degrees): 5.259 5.259 5.941 90.00 90.00 90.00
Fractional positions:
I (0.000, 0.000, 0.500)
Sb (0.000, 0.500, 0.000)
Sb (0.500, 0.000, 0.000)
Ca (0.500, 0.500, 0.500)
Al (0.000, 0.000, 0.000)

## Properties
formation energy without anion corrections = -0.5 eV per formula unit
symmetry = No. 123
energy above the most stable polymorph in this dataset = 0.00 eV/f.u.



Entry 4:
First-principles (PBE) data for crystalline CaAlSbI2 at its relaxed geometry, as listed in Alexandria.

Lattice parameters (Å, degrees): 5.572 5.572 5.502 90.00 90.00 90.00
Fractional positions:
I (0.000, 0.500, 0.000)
I (0.500, 0.000, 0.000)
Sb (0.000, 0.000, 0.500)
Ca (0.500, 0.500, 0.500)
Al (0.000, 0.000, 0.000)

## Properties
formation energy without anion corrections = -1.4 eV per formula unit
symmetry = No. 123
energy above the most stable polymorph in this dataset = 0.00 eV/f.u.



Entry 5:
First-principles (PBE) data for crystalline CaAlSbI2 at its relaxed geometry, as listed in Alexandria.

Lattice parameters (Å, degrees): 6.048 6.048 6.257 90.00 90.00 90.00
Last column: magnetic moment on the atom in μB.
Fractional positions:
I (0.000, 0.500, 0.000)  0.07
I (0.500, 0.000, 0.000)  0.07
Sb (0.000, 0.000, 0.500)  0.59
Ca (0.000, 0.000, 0.000)  0.01
Al (0.500, 0.500, 0.500)  0.02

## Properties
formation energy without anion corrections = -0.4 eV per formula unit
symmetry = No. 123
energy above the most stable polymorph in this dataset = 1.00 eV/f.u.



Entry 6:
First-principles (PBE) data for crystalline CaAlSb2I at its relaxed geometry, as listed in Alexandria.

Lattice parameters (Å, degrees): 5.868 5.868 5.974 90.00 90.00 90.00
Fractional positions:
I (0.000, 0.000, 0.500)
Sb (0.000, 0.500, 0.000)
Sb (0.500, 0.000, 0.000)
Ca (0.000, 0.000, 0.000)
Al (0.500, 0.500, 0.500)

## Properties
formation energy without anion corrections = 2.1 eV per formula unit
symmetry = No. 123
energy above the most stable polymorph in this dataset = 2.55 eV/f.u.



Entry 7:
First-principles (PBE) data for crystalline CaAlTe2I at its relaxed geometry, as listed in Alexandria.

Lattice parameters (Å, degrees): 5.416 5.416 5.621 90.00 90.00 90.00
Fractional positions:
I (0.000, 0.000, 0.500)
Ca (0.500, 0.500, 0.500)
Te (0.000, 0.500, 0.000)
Te (0.500, 0.000, 0.000)
Al (0.000, 0.000, 0.000)

## Properties
formation energy without anion corrections = -2.5 eV per formula unit
symmetry = No. 123
energy above the most stable polymorph in this dataset = 0.00 eV/f.u.



Entry 8:
First-principles (PBE) data for crystalline CaAlTe2I at its relaxed geometry, as listed in Alexandria.

Lattice parameters (Å, degrees): 5.909 5.909 6.099 90.00 90.00 90.00
Last column: magnetic moment on the atom in μB.
Fractional positions:
I (0.000, 0.000, 0.500)  0.05
Ca (0.000, 0.000, 0.000)  0.00
Te (0.000, 0.500, 0.000)  0.15
Te (0.500, 0.000, 0.000)  0.15
Al (0.500, 0.500, 0.500)  0.00

## Properties
formation energy without anion corrections = -0.4 eV per formula unit
symmetry = No. 123
energy above the most stable polymorph in this dataset = 2.18 eV/f.u.



Entry 9:
First-principles (PBE) data for crystalline CaAlZnI2 at its relaxed geometry, as listed in Alexandria.

Lattice parameters (Å, degrees): 6.002 4.800 6.002 90.00 90.00 90.00
Fractional positions:
I (0.000, 0.000, 0.500)
I (0.500, 0.000, 0.000)
Zn (0.000, 0.000, 0.000)
Ca (0.500, 0.500, 0.500)
Al (0.000, 0.500, 0.000)

## Properties
formation energy without anion corrections = -0.4 eV per formula unit
symmetry = No. 123



Entry 10:
First-principles (PBE) data for crystalline CaAl3In3 at its relaxed geometry, as listed in Alexandria.

Lattice parameters (Å, degrees): 7.594 7.594 7.594 90.00 90.00 90.00
Fractional positions:
Ca (0.500, 0.500, 0.500)
Ca (0.000, 0.000, 0.000)
Al (0.000, 0.250, 0.500)
Al (0.000, 0.750, 0.500)
Al (0.500, 0.000, 0.750)
Al (0.750, 0.500, 0.000)
Al (0.500, 0.000, 0.250)
Al (0.250, 0.500, 0.000)
In (0.250, 0.000, 0.500)
In (0.000, 0.500, 0.250)
In (0.500, 0.750, 0.000)
In (0.750, 0.000, 0.500)
In (0.000, 0.500, 0.750)
In (0.500, 0.250, 0.000)

## Properties
symmetry = No. 223
ΔE_f = 343 meV per atom



Entry 11:
First-principles (PBE) data for crystalline Ca3AlIn2 at its relaxed geometry, as listed in Alexandria.

Lattice parameters (Å, degrees): 3.810 5.380 8.523 108.40 90.00 90.00
Fractional positions:
Ca (0.500, 0.500, 0.000)
Ca (0.500, 0.837, 0.675)
Ca (0.500, 0.163, 0.325)
Al (0.000, 0.000, 0.000)
In (0.000, 0.333, 0.666)
In (0.000, 0.667, 0.334)

## Properties
symmetry = No. 65
ΔE_f = -371 meV per atom



Entry 12:
First-principles (PBE) data for crystalline Ca3AlIn at its relaxed geometry, as listed in Alexandria.

Lattice parameters (Å, degrees): 5.361 5.362 10.817 90.00 75.65 90.00
Fractional positions:
Ca (0.754, 0.250, 0.140)
Ca (0.395, 0.250, 0.859)
Ca (0.574, 0.250, 0.500)
Ca (0.254, 0.750, 0.141)
Ca (0.894, 0.750, 0.860)
Ca (0.074, 0.750, 0.500)
Al (0.667, 0.750, 0.314)
Al (0.981, 0.250, 0.686)
In (0.482, 0.750, 0.685)
In (0.167, 0.250, 0.315)

## Properties
symmetry = No. 63
energy above the most stable polymorph in this dataset = 0.00 eV/f.u.
ΔE_f = -273 meV per atom



Entry 13:
First-principles (PBE) data for crystalline Ca3AlIn at its relaxed geometry, as listed in Alexandria.

Lattice parameters (Å, degrees): 5.814 5.814 5.814 90.00 90.00 90.00
Fractional positions:
Ca (0.000, 0.500, 0.000)
Ca (0.000, 0.000, 0.500)
Ca (0.500, 0.000, 0.000)
Al (0.000, 0.000, 0.000)
In (0.500, 0.500, 0.500)

## Properties
symmetry = No. 221
energy above the most stable polymorph in this dataset = 1.97 eV/f.u.
ΔE_f = 122 meV per atom



Entry 14:
First-principles (PBE) data for crystalline Ca2Al2In at its relaxed geometry, as listed in Alexandria.

Lattice parameters (Å, degrees): 4.737 4.737 7.299 71.07 71.07 90.00
Fractional positions:
Ca (0.750, 0.250, 0.500)
Ca (0.250, 0.750, 0.500)
Al (0.406, 0.406, 0.187)
Al (0.594, 0.594, 0.813)
In (0.000, 0.000, 0.000)

## Properties
symmetry = No. 139
ΔE_f = 141 meV per atom



Entry 15:
First-principles (PBE) data for crystalline CaAl3In at its relaxed geometry, as listed in Alexandria.

Lattice parameters (Å, degrees): 5.277 5.277 5.277 90.00 90.00 90.00
Fractional positions:
Ca (0.500, 0.500, 0.500)
Al (0.000, 0.500, 0.000)
Al (0.000, 0.000, 0.500)
Al (0.500, 0.000, 0.000)
In (0.000, 0.000, 0.000)

## Properties
symmetry = No. 221
energy above the most stable polymorph in this dataset = 0.00 eV/f.u.
ΔE_f = 524 meV per atom



Entry 16:
First-principles (PBE) data for crystalline Ca4AlIn2 at its relaxed geometry, as listed in Alexandria.

Lattice parameters (Å, degrees): 5.345 5.345 9.328 73.35 73.35 60.00
Fractional positions:
Ca (0.875, 0.875, 0.376)
Ca (0.125, 0.125, 0.624)
Ca (0.624, 0.624, 0.127)
Ca (0.376, 0.376, 0.873)
Al (0.000, 0.000, 0.000)
In (0.747, 0.747, 0.758)
In (0.253, 0.253, 0.242)

## Properties
symmetry = No. 166
ΔE_f = -292 meV per atom



Entry 17:
First-principles (PBE) data for crystalline Ca5AlIn4 at its relaxed geometry, as listed in Alexandria.

Lattice parameters (Å, degrees): 3.864 3.864 18.781 90.00 90.00 90.00
Fractional positions:
Ca (0.500, 0.500, 0.094)
Ca (0.500, 0.500, 0.296)
Ca (0.500, 0.500, 0.500)
Ca (0.500, 0.500, 0.704)
Ca (0.500, 0.500, 0.906)
Al (0.000, 0.000, 0.000)
In (0.000, 0.000, 0.194)
In (0.000, 0.000, 0.399)
In (0.000, 0.000, 0.601)
In (0.000, 0.000, 0.806)

## Properties
symmetry = No. 123
ΔE_f = -409 meV per atom



Entry 18:
First-principles (PBE) data for crystalline CaAl3In at its relaxed geometry, as listed in Alexandria.

Lattice parameters (Å, degrees): 5.638 5.638 5.638 90.00 90.00 90.00
Fractional positions:
Ca (0.000, 0.000, 0.000)
Al (0.000, 0.500, 0.000)
Al (0.000, 0.000, 0.500)
Al (0.500, 0.000, 0.000)
In (0.500, 0.500, 0.500)

## Properties
symmetry = No. 221
energy above the most stable polymorph in this dataset = 2.66 eV/f.u.
ΔE_f = 1056 meV per atom



Entry 19:
First-principles (PBE) data for crystalline CaAlIn3 at its relaxed geometry, as listed in Alexandria.

Lattice parameters (Å, degrees): 5.357 5.357 5.357 90.00 90.00 90.00
Fractional positions:
Ca (0.500, 0.500, 0.500)
Al (0.000, 0.000, 0.000)
In (0.000, 0.500, 0.000)
In (0.000, 0.000, 0.500)
In (0.500, 0.000, 0.000)

## Properties
symmetry = No. 221
energy above the most stable polymorph in this dataset = 0.00 eV/f.u.
ΔE_f = 93 meV per atom



Entry 20:
First-principles (PBE) data for crystalline Ca2Al2In at its relaxed geometry, as listed in Alexandria.

Lattice parameters (Å, degrees): 7.325 7.325 4.860 90.00 90.00 90.00
Fractional positions:
Ca (0.172, 0.672, 0.500)
Ca (0.672, 0.828, 0.500)
Ca (0.828, 0.328, 0.500)
Ca (0.328, 0.172, 0.500)
Al (0.373, 0.873, 0.000)
Al (0.873, 0.627, 0.000)
Al (0.627, 0.127, 0.000)
Al (0.127, 0.373, 0.000)
In (0.000, 0.000, 0.000)
In (0.500, 0.500, 0.000)

## Properties
symmetry = No. 127
ΔE_f = -253 meV per atom



Entry 21:
First-principles (PBE) data for crystalline Ca6AlIn3 at its relaxed geometry, as listed in Alexandria.

Lattice parameters (Å, degrees): 5.526 9.406 12.222 110.47 90.00 90.00
Fractional positions:
Ca (0.250, 0.476, 0.084)
Ca (0.750, 0.524, 0.916)
Ca (0.250, 0.141, 0.169)
Ca (0.750, 0.859, 0.831)
Ca (0.250, 0.656, 0.667)
Ca (0.750, 0.344, 0.333)
Ca (0.250, 0.236, 0.498)
Ca (0.750, 0.764, 0.502)
Ca (0.250, 0.850, 0.318)
Ca (0.750, 0.150, 0.682)
Ca (0.250, 0.101, 0.872)
Ca (0.750, 0.899, 0.128)
Al (0.250, 0.948, 0.605)
Al (0.750, 0.052, 0.395)
In (0.250, 0.539, 0.377)
In (0.750, 0.461, 0.623)
In (0.250, 0.390, 0.782)
In (0.750, 0.610, 0.218)
In (0.250, 0.768, 0.969)
In (0.750, 0.232, 0.031)

## Properties
symmetry = No. 11
ΔE_f = -331 meV per atom



Entry 22:
First-principles (PBE) data for crystalline Ca6Al2In at its relaxed geometry, as listed in Alexandria.

Lattice parameters (Å, degrees): 9.118 9.118 9.118 110.83 112.07 105.58
Fractional positions:
Ca (0.181, 0.728, 0.909)
Ca (0.819, 0.272, 0.091)
Ca (0.181, 0.272, 0.454)
Ca (0.819, 0.728, 0.546)
Ca (0.948, 0.751, 0.197)
Ca (0.052, 0.249, 0.803)
Ca (0.553, 0.751, 0.803)
Ca (0.447, 0.249, 0.197)
Ca (0.670, 0.379, 0.708)
Ca (0.330, 0.621, 0.292)
Ca (0.670, 0.962, 0.292)
Ca (0.330, 0.038, 0.708)
Al (0.881, 0.381, 0.500)
Al (0.119, 0.619, 0.500)
Al (0.356, 0.000, 0.356)
Al (0.644, 0.000, 0.644)
In (0.500, 0.500, 0.000)
In (0.000, 0.000, 0.000)

## Properties
symmetry = No. 71
ΔE_f = -214 meV per atom



Entry 23:
First-principles (PBE) data for crystalline CaAlIn4 at its relaxed geometry, as listed in Alexandria.

Lattice parameters (Å, degrees): 6.135 6.135 6.135 60.00 60.00 60.00
Fractional positions:
Ca (0.000, 0.000, 0.000)
Al (0.750, 0.750, 0.750)
In (0.874, 0.375, 0.375)
In (0.375, 0.375, 0.874)
In (0.375, 0.874, 0.375)
In (0.375, 0.375, 0.375)

## Properties
symmetry = No. 216
ΔE_f = 6 meV per atom



Entry 24:
First-principles (PBE) data for crystalline CaAlIn3 at its relaxed geometry, as listed in Alexandria.

Lattice parameters (Å, degrees): 5.868 5.868 5.868 90.00 90.00 90.00
Fractional positions:
Ca (0.000, 0.000, 0.000)
Al (0.500, 0.500, 0.500)
In (0.000, 0.500, 0.000)
In (0.000, 0.000, 0.500)
In (0.500, 0.000, 0.000)

## Properties
symmetry = No. 221
energy above the most stable polymorph in this dataset = 3.41 eV/f.u.
ΔE_f = 775 meV per atom



Entry 25:
First-principles (PBE) data for crystalline CaLaAlIn at its relaxed geometry, as listed in Alexandria.

Lattice parameters (Å, degrees): 5.428 5.428 5.428 60.00 60.00 60.00
Fractional positions:
Ca (0.500, 0.500, 0.500)
In (0.250, 0.250, 0.250)
Al (0.750, 0.750, 0.750)
La (0.000, 0.000, 0.000)

## Properties
symmetry = No. 216
ΔE_f = -377 meV per atom



Which N(E_F) belongs to each record? In order, 0.000, 5.679, 4.119, 4.195, 2.012, 6.086, 0.899, 6.843, 4.964, 5.744, 3.270, 2.328, 5.933, 2.014, 3.556, 4.798, 6.081, 3.863, 3.449, 4.640, 5.203, 8.133, 4.157, 4.144, 3.191 states/eV/f.u..